Arrangement i

Sm2HRh PBE optimized geometry; mass density = 8.00 g/cm3; magnetization = 0.0 μB/cell
1.0
-0.223 2.686 -2.929
-0.067 -1.195 -3.796
-6.205 0.208 -2.042
H Rh Sm
1 1 2
Direct
0.500 0.500 0.500
0.000 0.000 0.000
0.245 0.245 0.264
0.755 0.755 0.736

Arrangement ii

Sm2HRh PBE optimized geometry; mass density = 7.94 g/cm3; magnetization = 0.0 μB/cell
1.0
3.784 0.000 0.000
0.001 6.987 0.352
-1.893 -3.111 6.242
Sm H Rh
4 2 2
Direct
0.344 0.036 0.263
0.046 0.528 0.666
0.615 0.032 0.805
0.317 0.524 0.208
0.219 0.176 0.012
0.442 0.384 0.458
0.714 0.715 0.001
0.947 0.844 0.470

Arrangement iii

Sm2HRh PBE optimized geometry; mass density = 7.84 g/cm3; magnetization = 0.0 μB/cell
1.0
3.763 0.000 0.000
1.881 3.259 0.000
1.881 1.086 6.990
Sm H Rh
2 1 1
Direct
0.085 0.085 0.745
0.251 0.251 0.247
0.497 0.497 0.510
0.668 0.668 0.997

Arrangement iv

Sm2HRh PBE optimized geometry; mass density = 8.59 g/cm3; magnetization = 0.0 μB/cell
1.0
-0.461 2.778 -1.743
-2.059 1.125 2.337
5.493 3.032 3.381
H Rh Sm
1 1 2
Direct
0.500 0.500 0.000
0.500 0.500 0.500
0.000 0.000 0.753
0.000 0.000 0.247

Decreasing stability: arrangement ii, arrangement i, arrangement iii, arrangement iv

Arrangement i

SmH8Rh2 PBE optimized geometry; mass density = 6.32 g/cm3; magnetization = 0.0 μB/cell
1.0
-3.148 -2.609 1.649
2.920 -3.280 0.386
1.229 4.471 3.525
Sm H Rh
1 8 2
Direct
0.500 0.500 0.000
0.936 0.936 0.315
0.064 0.064 0.685
0.620 0.620 0.685
0.620 0.064 0.685
0.380 0.380 0.315
0.380 0.936 0.315
0.936 0.380 0.315
0.064 0.620 0.685
0.250 0.750 0.500
0.750 0.250 0.500

Arrangement ii

SmH8Rh2 PBE optimized geometry; mass density = 6.23 g/cm3; magnetization = 0.0 μB/cell
1.0
-0.875 -2.088 2.894
-2.567 -3.557 -3.341
2.803 -4.228 -2.203
Sm H Rh
1 8 2
Direct
0.500 0.000 0.000
0.000 0.125 0.262
0.000 0.388 0.738
0.395 0.500 0.000
0.500 0.757 0.487
0.500 0.243 0.513
0.605 0.500 0.000
0.000 0.612 0.262
0.000 0.875 0.738
0.000 0.236 0.528
0.000 0.764 0.472

Decreasing stability: arrangement ii, arrangement i